# Sr8CuHg2 PBE optimized geometry
# * total magnetization: 0.00 μB/cell
# * D(E_F): 0.983 states/eV per atom
# * E: -1.8011 eV/atom
data_Sr8CuHg2
_cell_length_a 9.8737
_cell_length_b 14.7097
_cell_length_c 7.0553
_cell_angle_alpha 90.00
_cell_angle_beta 111.20
_cell_angle_gamma 90.00
_space_group_name_H-M_alt 'C 1 m 1'
_space_group_IT_number 8
loop_
_space_group_symop_operation_xyz
'x,y,z'
'x,-y,z'
'x+1/2,y+1/2,z'
'x+1/2,-y+1/2,z'
loop_
_atom_site_label
_atom_site_fract_x
_atom_site_fract_y
_atom_site_fract_z
Sr1 0.0000 0.0000 0.0000
Sr2 0.0651 0.3696 0.8107
Sr3 0.1420 0.1292 0.5913
Sr4 0.2086 0.5000 0.3769
Sr5 0.3566 0.1979 0.1946
Cu1 0.3539 0.0000 0.9662
Hg1 0.3493 0.3124 0.6866

# Cs2CdInAu PBE optimized geometry
# * total magnetization: 0.00 μB/cell
# * D(E_F): 0.959 states/eV per atom
# * E: -1.7751 eV/atom
data_Cs2CdInAu
_cell_length_a 7.0178
_cell_length_b 7.0178
_cell_length_c 5.2807
_cell_angle_alpha 90.00
_cell_angle_beta 90.00
_cell_angle_gamma 90.00
_space_group_name_H-M_alt 'P 4/m m m'
_space_group_IT_number 123
_space_group_name_Hall '-P 4 2'
loop_
_atom_site_label
_atom_site_fract_x
_atom_site_fract_y
_atom_site_fract_z
Cs1 0.0000 0.5000 0.0000
Cd1 0.0000 0.0000 0.5000
In1 0.5000 0.5000 0.5000
Au1 0.5000 0.5000 0.0000

# EuMgPb4 PBE optimized geometry
# * total magnetization: 27.92 μB/cell
# * D(E_F): 2.745 states/eV per atom
# * E: -4.5463 eV/atom
data_EuMgPb4
_cell_length_a 9.1971
_cell_length_b 9.1971
_cell_length_c 9.1971
_cell_angle_alpha 90.00
_cell_angle_beta 90.00
_cell_angle_gamma 90.00
_space_group_name_H-M_alt 'F -4 3 m'
_space_group_IT_number 216
_space_group_name_Hall 'F -4 2 3'
loop_
_atom_site_label
_atom_site_fract_x
_atom_site_fract_y
_atom_site_fract_z
Eu1 0.0000 0.0000 0.0000
Mg1 0.2500 0.2500 0.7500
Pb1 0.1252 0.1252 0.3748

# ThZr6Sc8 PBE optimized geometry
# * total magnetization: 0.00 μB/cell
# * D(E_F): 1.523 states/eV per atom
# * E: -7.1035 eV/atom
data_ThZr6Sc8
_cell_length_a 8.6000
_cell_length_b 8.6000
_cell_length_c 5.9227
_cell_angle_alpha 90.00
_cell_angle_beta 90.00
_cell_angle_gamma 120.00
_space_group_name_H-M_alt 'P -3'
_space_group_IT_number 147
loop_
_space_group_symop_operation_xyz
'x,y,z'
'-x,-y,-z'
'-y,x-y,z'
'y,-x+y,-z'
'-x+y,-x,z'
'x-y,x,-z'
loop_
_atom_site_label
_atom_site_fract_x
_atom_site_fract_y
_atom_site_fract_z
Th1 0.0000 0.0000 0.0000
Zr1 0.0774 0.6731 0.9117
Sc1 0.0360 0.3453 0.6019
Sc2 0.3333 0.6667 0.3042

# NaSbP2 PBE optimized geometry
# * uncorrected formation energy: 36 meV per atom
# * total magnetization: 0.00 μB/cell
# * D(E_F): 0.000 states/eV per atom
data_NaSbP2
_cell_length_a 6.8165
_cell_length_b 6.8165
_cell_length_c 9.5226
_cell_angle_alpha 90.00
_cell_angle_beta 90.00
_cell_angle_gamma 90.00
_space_group_name_H-M_alt 'I -4 2 d'
_space_group_IT_number 122
_space_group_name_Hall 'I -4 2bw'
loop_
_atom_site_label
_atom_site_fract_x
_atom_site_fract_y
_atom_site_fract_z
Na1 0.0000 0.0000 0.0000
Sb1 0.0000 0.0000 0.5000
P1 0.2043 0.2500 0.6250

# BaNaAu3 PBE optimized geometry
# * excess energy over the best structure of this formula in the dataset: 0.0 meV per atom
# * total magnetization: 0.00 μB/cell
# * D(E_F): 0.284 states/eV per atom
data_BaNaAu3
_cell_length_a 4.1500
_cell_length_b 27.6549
_cell_length_c 4.8247
_cell_angle_alpha 90.00
_cell_angle_beta 90.00
_cell_angle_gamma 90.00
_space_group_name_H-M_alt 'C m c m'
_space_group_IT_number 63
_space_group_name_Hall '-C 2c 2'
loop_
_atom_site_label
_atom_site_fract_x
_atom_site_fract_y
_atom_site_fract_z
Ba1 0.0000 0.0785 0.2500
Na1 0.0000 0.2096 0.7500
Au1 0.0000 0.3192 0.7500
Au2 0.0000 0.3718 0.2500
Au3 0.0000 0.4736 0.2500

# Sn2BiSb2 PBE optimized geometry
# * excess energy over the best structure of this formula in the dataset: 137.7 meV per atom
# * uncorrected formation energy: 165 meV per atom
# * total magnetization: 0.00 μB/cell
# * D(E_F): 0.519 states/eV per atom
data_Sn2BiSb2
_cell_length_a 4.2943
_cell_length_b 4.2943
_cell_length_c 16.4524
_cell_angle_alpha 90.00
_cell_angle_beta 90.00
_cell_angle_gamma 90.00
_space_group_name_H-M_alt 'I 4/m m m'
_space_group_IT_number 139
_space_group_name_Hall '-I 4 2'
loop_
_atom_site_label
_atom_site_fract_x
_atom_site_fract_y
_atom_site_fract_z
Sn1 0.0000 0.5000 0.2500
Bi1 0.0000 0.0000 0.0000
Sb1 0.0000 0.0000 0.4049

# AgBr3F PBE optimized geometry
# * excess energy over the best structure of this formula in the dataset: 0.0 meV per atom
# * uncorrected formation energy: -326 meV per atom
# * total magnetization: 0.00 μB/cell
# * D(E_F): 0.706 states/eV per atom
data_AgBr3F
_cell_length_a 14.2152
_cell_length_b 11.3838
_cell_length_c 7.4645
_cell_angle_alpha 90.00
_cell_angle_beta 103.42
_cell_angle_gamma 90.00
_space_group_name_H-M_alt 'C 1 2/c 1'
_space_group_IT_number 15
loop_
_space_group_symop_operation_xyz
'x,y,z'
'-x,-y,-z'
'-x,y,-z+1/2'
'x,-y,z+1/2'
'x+1/2,y+1/2,z'
'-x+1/2,-y+1/2,-z'
'-x+1/2,y+1/2,-z+1/2'
'x+1/2,-y+1/2,z+1/2'
loop_
_atom_site_label
_atom_site_fract_x
_atom_site_fract_y
_atom_site_fract_z
Ag1 0.0000 0.1275 0.2500
Ag2 0.0000 0.2097 0.7500
Br1 0.1222 0.0434 0.8775
Br2 0.1246 0.3566 0.9555
Br3 0.1274 0.3068 0.2867
F1 0.1257 0.2741 0.5493

# CaThHgRh PBE optimized geometry
# * total magnetization: 0.00 μB/cell
# * D(E_F): 0.684 states/eV per atom
# * E: -4.6944 eV/atom
data_CaThHgRh
_cell_length_a 7.3053
_cell_length_b 7.3053
_cell_length_c 7.3053
_cell_angle_alpha 90.00
_cell_angle_beta 90.00
_cell_angle_gamma 90.00
_space_group_name_H-M_alt 'F -4 3 m'
_space_group_IT_number 216
_space_group_name_Hall 'F -4 2 3'
loop_
_atom_site_label
_atom_site_fract_x
_atom_site_fract_y
_atom_site_fract_z
Ca1 0.0000 0.0000 0.0000
Th1 0.0000 0.0000 0.5000
Hg1 0.2500 0.2500 0.7500
Rh1 0.2500 0.2500 0.2500

# SmTmZnIn PBE optimized geometry
# * excess energy over the best structure of this formula in the dataset: 26.6 meV per atom
# * total magnetization: 0.00 μB/cell
# * D(E_F): 0.914 states/eV per atom
data_SmTmZnIn
_cell_length_a 7.3859
_cell_length_b 7.3859
_cell_length_c 7.3859
_cell_angle_alpha 90.00
_cell_angle_beta 90.00
_cell_angle_gamma 90.00
_space_group_name_H-M_alt 'F -4 3 m'
_space_group_IT_number 216
_space_group_name_Hall 'F -4 2 3'
loop_
_atom_site_label
_atom_site_fract_x
_atom_site_fract_y
_atom_site_fract_z
Sm1 0.0000 0.0000 0.0000
Tm1 0.0000 0.0000 0.5000
Zn1 0.2500 0.2500 0.2500
In1 0.2500 0.2500 0.7500

# ZrAlFe PBE optimized geometry
# * total magnetization: 0.00 μB/cell
# * D(E_F): 0.696 states/eV per atom
# * E: -7.1932 eV/atom
data_ZrAlFe
_cell_length_a 3.0289
_cell_length_b 3.0289
_cell_length_c 10.3272
_cell_angle_alpha 90.00
_cell_angle_beta 90.00
_cell_angle_gamma 90.00
_space_group_name_H-M_alt 'I 4 m m'
_space_group_IT_number 107
_space_group_name_Hall 'I 4 -2'
loop_
_atom_site_label
_atom_site_fract_x
_atom_site_fract_y
_atom_site_fract_z
Zr1 0.0000 0.0000 0.0000
Al1 0.0000 0.0000 0.2870
Fe1 0.0000 0.0000 0.6611

# Tm3Pu5H12 PBE optimized geometry
# * total magnetization: 52.83 μB/cell
# * D(E_F): 1.801 states/eV per atom
# * E: -6.5133 eV/atom
data_Tm3Pu5H12
_cell_length_a 12.8451
_cell_length_b 12.8451
_cell_length_c 12.8451
_cell_angle_alpha 90.00
_cell_angle_beta 90.00
_cell_angle_gamma 90.00
_space_group_name_H-M_alt 'I a -3 d'
_space_group_IT_number 230
_space_group_name_Hall '-I 4bd 2c 3'
loop_
_atom_site_label
_atom_site_fract_x
_atom_site_fract_y
_atom_site_fract_z
Tm1 0.0000 0.2500 0.1250
Pu1 0.0000 0.0000 0.0000
Pu2 0.0000 0.2500 0.3750
H1 0.0008 0.0737 0.1553